1.
# PmDy6Ho2

An optimized crystal structure of PmDy6Ho2 (PBE-GGA, Alexandria).

Properties
The value obtained for the total magnetization is 0.0 μB/cell. For the formation energy from the elements, the calculation gives 17 meV/atom. For the total energy, the calculation gives -41.36 eV/f.u. The calculation puts the excess energy over the best structure of this formula in the dataset at 0.0 meV/atom.

Unit cell a=3.5519 b=8.6854 c=9.3868 alpha=90.03 beta=100.85 gamma=90.06
Space group P-1 (No. 2)
One atom of each set of equivalent atoms:
Pm 0.0000 0.0000 0.0000 x1
Dy 0.1114 0.6656 0.2228 x2
Dy 0.2216 0.3343 0.4441 x2
Dy 0.3327 0.0003 0.6650 x2
Ho 0.4443 0.6649 0.8886 x2



2.
# PmDy8Ho6

An optimized crystal structure of PmDy8Ho6 (PBE-GGA, Alexandria).

Properties
The value obtained for the total magnetization is 0.0 μB/cell. For the formation energy from the elements, the calculation gives 133 meV/atom. For the total energy, the calculation gives -67.04 eV/f.u.

Unit cell a=8.9998 b=8.9998 c=20.5159 alpha=90.00 beta=90.00 gamma=120.00
Space group R-3 (No. 148, hexagonal axes)
One atom of each set of equivalent atoms:
Pm 0.0000 0.0000 0.0000 x3
Dy 0.0000 0.0000 0.4234 x6
Dy 0.0811 0.5284 0.8082 x18
Ho 0.0592 0.8139 0.7071 x18



3.
# Pm2Dy9Ho

An optimized crystal structure of Pm2Dy9Ho (PBE-GGA, Alexandria).

Properties
The value obtained for the total magnetization is 0.0 μB/cell. For the formation energy from the elements, the calculation gives 64 meV/atom. For the total energy, the calculation gives -54.73 eV/f.u. The calculation puts the excess energy over the best structure of this formula in the dataset at 43.3 meV/atom.

Unit cell a=11.2492 b=11.2492 c=3.4913 alpha=90.00 beta=90.00 gamma=120.00
Space group P6/mmm (No. 191)
One atom of each set of equivalent atoms:
Pm 0.3333 0.6667 0.0000 x2
Dy 0.0000 0.5000 0.0000 x3
Dy 0.1737 0.3475 0.5000 x6
Ho 0.0000 0.0000 0.0000 x1



4.
# PmDyHo2

An optimized crystal structure of PmDyHo2 (PBE-GGA, Alexandria).

Properties
The value obtained for the total magnetization is 0.0 μB/cell. For the formation energy from the elements, the calculation gives 16 meV/atom. For the total energy, the calculation gives -18.44 eV/f.u. The calculation puts the excess energy over the best structure of this formula in the dataset at 0.0 meV/atom.

Unit cell a=3.5795 b=3.5795 c=34.5707 alpha=90.00 beta=90.00 gamma=120.00
Space group R3m (No. 160, hexagonal axes)
One atom of each set of equivalent atoms:
Pm 0.0000 0.0000 0.0000 x3
Dy 0.0000 0.0000 0.1659 x3
Ho 0.0000 0.0000 0.5816 x3
Ho 0.0000 0.0000 0.7505 x3



5.
# Pm7DyHo4

An optimized crystal structure of Pm7DyHo4 (PBE-GGA, Alexandria).

Properties
The value obtained for the total magnetization is 0.0 μB/cell. For the formation energy from the elements, the calculation gives 3 meV/atom. For the total energy, the calculation gives -56.13 eV/f.u. The calculation puts the excess energy over the best structure of this formula in the dataset at 0.0 meV/atom.

Unit cell a=6.2882 b=7.2533 c=8.9429 alpha=89.98 beta=76.47 gamma=89.96
Space group P-1 (No. 2)
One atom of each set of equivalent atoms:
Pm 0.0000 0.0000 0.0000 x1
Pm 0.2214 0.5001 0.3345 x2
Pm 0.2795 0.7509 0.6656 x2
Pm 0.4990 0.2479 0.9989 x2
Dy 0.0000 0.5000 0.0000 x1
Ho 0.2201 0.9999 0.3352 x2
Ho 0.2781 0.2477 0.6670 x2



6.
# Pm2Dy3Ho6

An optimized crystal structure of Pm2Dy3Ho6 (PBE-GGA, Alexandria).

Properties
The value obtained for the total magnetization is 0.0 μB/cell. For the formation energy from the elements, the calculation gives 273 meV/atom. For the total energy, the calculation gives -47.77 eV/f.u. The calculation puts the excess energy over the best structure of this formula in the dataset at 87.4 meV/atom.

Unit cell a=4.7180 b=4.7180 c=33.1196 alpha=90.00 beta=90.00 gamma=90.00
Space group I4/mmm (No. 139)
One atom of each set of equivalent atoms:
Pm 0.0000 0.0000 0.0461 x4
Dy 0.0000 0.0000 0.2988 x4
Dy 0.0000 0.0000 0.5000 x2
Ho 0.0000 0.0000 0.1956 x4
Ho 0.0000 0.5000 0.1219 x8



7.
# Pm4Dy15Ho

An optimized crystal structure of Pm4Dy15Ho (PBE-GGA, Alexandria).

Properties
The value obtained for the total magnetization is 0.0 μB/cell. For the formation energy from the elements, the calculation gives 18 meV/atom. For the total energy, the calculation gives -92.25 eV/f.u.

Unit cell a=5.0410 b=5.0410 c=25.1591 alpha=90.00 beta=90.00 gamma=90.00
Space group P4/mmm (No. 123)
One atom of each set of equivalent atoms:
Pm 0.0000 0.0000 0.1003 x2
Pm 0.0000 0.0000 0.3007 x2
Dy 0.0000 0.5000 0.0000 x2
Dy 0.0000 0.5000 0.2006 x4
Dy 0.0000 0.5000 0.4013 x4
Dy 0.5000 0.5000 0.1003 x2
Dy 0.5000 0.5000 0.3010 x2
Dy 0.5000 0.5000 0.5000 x1
Ho 0.0000 0.0000 0.5000 x1



8.
# PmDyHo5

An optimized crystal structure of PmDyHo5 (PBE-GGA, Alexandria).

Properties
The value obtained for the total magnetization is 0.0 μB/cell. For the formation energy from the elements, the calculation gives 195 meV/atom. For the total energy, the calculation gives -30.88 eV/f.u. The calculation puts the excess energy over the best structure of this formula in the dataset at 0.0 meV/atom.

Unit cell a=11.6495 b=6.7412 c=12.1444 alpha=90.00 beta=110.12 gamma=90.00
Space group C2/c (No. 15)
One atom of each set of equivalent atoms:
Pm 0.0000 0.0283 0.2500 x4
Dy 0.2500 0.2500 0.0000 x4
Ho 0.0000 0.4111 0.7500 x4
Ho 0.0786 0.2698 0.5000 x8
Ho 0.2196 0.3641 0.2475 x8



9.
# Pm7Dy2Ho3

An optimized crystal structure of Pm7Dy2Ho3 (PBE-GGA, Alexandria).

Properties
The value obtained for the total magnetization is 0.0 μB/cell. For the formation energy from the elements, the calculation gives 71 meV/atom. For the total energy, the calculation gives -55.35 eV/f.u. The calculation puts the excess energy over the best structure of this formula in the dataset at 0.0 meV/atom.

Unit cell a=6.4286 b=3.5539 c=17.5390 alpha=90.00 beta=95.93 gamma=90.00
Space group P2/m (No. 10)
One atom of each set of equivalent atoms:
Pm 0.0000 0.0000 0.0000 x1
Pm 0.2247 0.5000 0.1710 x2
Pm 0.2574 0.5000 0.4954 x2
Pm 0.2759 0.0000 0.8332 x2
Dy 0.0594 0.5000 0.6705 x2
Ho 0.4537 0.0000 0.3407 x2
Ho 0.5000 0.5000 0.0000 x1



10.
# Pm8Dy2Ho

An optimized crystal structure of Pm8Dy2Ho (PBE-GGA, Alexandria).

Properties
The value obtained for the total magnetization is 0.0 μB/cell. For the formation energy from the elements, the calculation gives 120 meV/atom. For the total energy, the calculation gives -50.46 eV/f.u. The calculation puts the excess energy over the best structure of this formula in the dataset at 0.0 meV/atom.

Unit cell a=11.1886 b=7.4476 c=9.3191 alpha=90.00 beta=106.15 gamma=90.00
Space group C2/m (No. 12)
One atom of each set of equivalent atoms:
Pm 0.0690 0.2183 0.2730 x8
Pm 0.1748 0.0000 0.6228 x4
Pm 0.1919 0.0000 0.9981 x4
Dy 0.1411 0.5000 0.6265 x4
Ho 0.0000 0.5000 0.0000 x2



11.
# Pm12Dy3Ho

An optimized crystal structure of Pm12Dy3Ho (PBE-GGA, Alexandria).

Properties
The value obtained for the total magnetization is 0.0 μB/cell. For the formation energy from the elements, the calculation gives 15 meV/atom. For the total energy, the calculation gives -75.15 eV/f.u.

Unit cell a=5.1227 b=5.1227 c=20.4478 alpha=90.00 beta=90.00 gamma=90.00
Space group P4/mmm (No. 123)
One atom of each set of equivalent atoms:
Pm 0.0000 0.0000 0.0000 x1
Pm 0.0000 0.0000 0.2502 x2
Pm 0.0000 0.0000 0.5000 x1
Pm 0.0000 0.5000 0.1251 x4
Pm 0.0000 0.5000 0.3752 x4
Dy 0.5000 0.5000 0.0000 x1
Dy 0.5000 0.5000 0.2502 x2
Ho 0.5000 0.5000 0.5000 x1



12.
# Pm2Dy5Ho4

An optimized crystal structure of Pm2Dy5Ho4 (PBE-GGA, Alexandria).

Properties
The value obtained for the total magnetization is 0.0 μB/cell. For the formation energy from the elements, the calculation gives 163 meV/atom. For the total energy, the calculation gives -49.03 eV/f.u. The calculation puts the excess energy over the best structure of this formula in the dataset at 144.5 meV/atom.

Unit cell a=16.4972 b=6.6412 c=6.6525 alpha=90.00 beta=100.53 gamma=90.00
Space group C2/m (No. 12)
One atom of each set of equivalent atoms:
Pm 0.2004 0.0000 0.2979 x4
Dy 0.0000 0.0000 0.5000 x2
Dy 0.0882 0.2630 0.9060 x8
Ho 0.0881 0.5000 0.4064 x4
Ho 0.2435 0.0000 0.8064 x4



13.
# Pm11Dy9Ho4

An optimized crystal structure of Pm11Dy9Ho4 (PBE-GGA, Alexandria).

Properties
The value obtained for the total magnetization is 0.0 μB/cell. For the formation energy from the elements, the calculation gives 54 meV/atom. For the total energy, the calculation gives -110.69 eV/f.u.

Unit cell a=16.9275 b=25.6544 c=3.6534 alpha=90.00 beta=90.00 gamma=90.00
Space group Cmmm (No. 65)
One atom of each set of equivalent atoms:
Pm 0.0000 0.0000 0.0000 x2
Pm 0.0000 0.1606 0.0000 x4
Pm 0.0000 0.3684 0.0000 x4
Pm 0.2078 0.5000 0.0000 x4
Pm 0.2245 0.1811 0.0000 x8
Dy 0.0000 0.5000 0.5000 x2
Dy 0.1021 0.2674 0.5000 x8
Dy 0.1408 0.0730 0.5000 x8
Ho 0.1569 0.3984 0.5000 x8



14.
# Pm4Dy5Ho3

An optimized crystal structure of Pm4Dy5Ho3 (PBE-GGA, Alexandria).

Properties
The value obtained for the total magnetization is 1.0 μB/cell. For the formation energy from the elements, the calculation gives 230 meV/atom. For the total energy, the calculation gives -52.99 eV/f.u.

Unit cell a=16.1006 b=5.9138 c=9.3433 alpha=90.00 beta=116.55 gamma=90.00
Space group C2/m (No. 12)
One atom of each set of equivalent atoms:
Pm 0.0832 0.0000 0.4444 x4
Pm 0.2155 0.0000 0.8808 x4
Dy 0.0000 0.0000 0.0000 x2
Dy 0.0719 0.5000 0.7015 x4
Dy 0.1718 0.5000 0.3857 x4
Ho 0.0000 0.5000 0.0000 x2
Ho 0.2107 0.0000 0.2338 x4



15.
# PmDyHo2

An optimized crystal structure of PmDyHo2 (PBE-GGA, Alexandria).

Properties
The value obtained for the total magnetization is 0.0 μB/cell. For the formation energy from the elements, the calculation gives 17 meV/atom. For the total energy, the calculation gives -18.44 eV/f.u. The calculation puts the excess energy over the best structure of this formula in the dataset at 0.7 meV/atom.

Unit cell a=3.6370 b=11.3622 c=6.2673 alpha=90.00 beta=90.00 gamma=90.00
Space group Imm2 (No. 44)
One atom of each set of equivalent atoms:
Pm 0.0000 0.0000 0.0000 x2
Dy 0.0000 0.5000 0.9975 x2
Ho 0.0000 0.2486 0.6648 x4



16.
# Pm8DyHo4

An optimized crystal structure of Pm8DyHo4 (PBE-GGA, Alexandria).

Properties
The value obtained for the total magnetization is 0.0 μB/cell. For the formation energy from the elements, the calculation gives 470 meV/atom. For the total energy, the calculation gives -54.81 eV/f.u.

Unit cell a=11.0912 b=11.0912 c=13.5660 alpha=90.00 beta=90.00 gamma=120.00
Space group R-3m (No. 166, hexagonal axes)
One atom of each set of equivalent atoms:
Pm 0.0000 0.0000 0.2403 x6
Pm 0.0129 0.5064 0.7467 x18
Dy 0.0000 0.0000 0.5000 x3
Ho 0.0000 0.0000 0.0000 x3
Ho 0.0000 0.5000 0.0000 x9



17.
# Pm2DyHo

An optimized crystal structure of Pm2DyHo (PBE-GGA, Alexandria).

Properties
The value obtained for the total magnetization is 0.0 μB/cell. For the formation energy from the elements, the calculation gives 123 meV/atom. For the total energy, the calculation gives -18.19 eV/f.u. The calculation puts the excess energy over the best structure of this formula in the dataset at 110.0 meV/atom.

Unit cell a=8.0834 b=8.0834 c=8.0834 alpha=90.00 beta=90.00 gamma=90.00
Space group Fm-3m (No. 225)
One atom of each set of equivalent atoms:
Pm 0.2500 0.2500 0.2500 x8
Dy 0.0000 0.0000 0.0000 x4
Ho 0.0000 0.0000 0.5000 x4



18.
# PmDy6Ho12

An optimized crystal structure of PmDy6Ho12 (PBE-GGA, Alexandria).

Properties
The value obtained for the total magnetization is 0.0 μB/cell. For the formation energy from the elements, the calculation gives 158 meV/atom. For the total energy, the calculation gives -84.29 eV/f.u. The calculation puts the excess energy over the best structure of this formula in the dataset at 139.7 meV/atom.

Unit cell a=11.8389 b=11.8389 c=15.1023 alpha=90.00 beta=90.00 gamma=120.00
Space group R-3 (No. 148, hexagonal axes)
One atom of each set of equivalent atoms:
Pm 0.0000 0.0000 0.0000 x3
Dy 0.0086 0.4218 0.6782 x18
Ho 0.0192 0.8369 0.1917 x18
Ho 0.0404 0.8517 0.4157 x18



19.
# PmDy2Ho7

An optimized crystal structure of PmDy2Ho7 (PBE-GGA, Alexandria).

Properties
The value obtained for the total magnetization is 0.0 μB/cell. For the formation energy from the elements, the calculation gives 705 meV/atom. For the total energy, the calculation gives -38.95 eV/f.u. The calculation puts the excess energy over the best structure of this formula in the dataset at 684.5 meV/atom.

Unit cell a=8.6815 b=16.2278 c=5.5357 alpha=90.00 beta=90.00 gamma=90.00
Space group Cmmm (No. 65)
One atom of each set of equivalent atoms:
Pm 0.0000 0.0000 0.0000 x2
Dy 0.0000 0.2969 0.5000 x4
Ho 0.0000 0.2121 0.0000 x4
Ho 0.0000 0.5000 0.5000 x2
Ho 0.1767 0.1138 0.5000 x8



20.
# PmDyHo14

An optimized crystal structure of PmDyHo14 (PBE-GGA, Alexandria).

Properties
The value obtained for the total magnetization is 0.0 μB/cell. For the formation energy from the elements, the calculation gives 5 meV/atom. For the total energy, the calculation gives -73.36 eV/f.u.

Unit cell a=11.4149 b=7.0965 c=12.2958 alpha=90.00 beta=90.00 gamma=90.00
Space group Amm2 (No. 38)
One atom of each set of equivalent atoms:
Pm 0.0000 0.0000 0.0000 x2
Dy 0.0000 0.0000 0.5000 x2
Ho 0.0000 0.2501 0.2499 x4
Ho 0.2503 0.0000 0.3330 x4
Ho 0.2515 0.0000 0.8328 x4
Ho 0.2518 0.2502 0.0832 x8
Ho 0.5000 0.0000 0.1664 x2
Ho 0.5000 0.0000 0.6662 x2
Ho 0.5000 0.2499 0.4161 x4